1.
Density functional theory data (PBE) for a geometry-optimized Li5Pm3H12 structure.

It has space group Ia-3d (No. 230), with a = 12.176 Å, b = 12.176 Å, c = 12.176 Å, α = 90.00°, β = 90.00° and γ = 90.00°. The distinct sites, in fractional coordinates, are Li at (0.000, 0.000, 0.000), Li at (0.000, 0.250, 0.375), Pm at (0.000, 0.250, 0.125) and H at (0.027, 0.061, 0.654).

The total energy is -3.64 eV per atom.

2.
Density functional theory data (PBE) for a geometry-optimized Dy2SiS4 structure.

It has space group I-42m (No. 121), with a = 6.128 Å, b = 6.128 Å, c = 11.472 Å, α = 90.00°, β = 90.00° and γ = 90.00°. The distinct sites, in fractional coordinates, are Dy at (0.000, 0.500, 0.250), Si at (0.000, 0.000, 0.000) and S at (0.233, 0.233, 0.122).

The calculation puts the formation energy without anion corrections at -1124 meV/atom.

3.
Density functional theory data (PBE) for a geometry-optimized Th3Al2Zn3 structure.

It has space group Cmcm (No. 63), with a = 4.465 Å, b = 11.027 Å, c = 14.814 Å, α = 90.00°, β = 90.00° and γ = 90.00°. The distinct sites, in fractional coordinates, are Th at (0.000, 0.085, 0.113), Th at (0.000, 0.371, 0.250), Al at (0.000, 0.208, 0.598), Zn at (0.000, 0.338, 0.750) and Zn at (0.000, 0.385, 0.036).

The total energy is -4.51 eV per atom.

4.
Density functional theory data (PBE) for a geometry-optimized Ca3Al3Rh2 structure.

It has space group Pnma (No. 62), with a = 8.016 Å, b = 15.073 Å, c = 5.896 Å, α = 90.00°, β = 90.00° and γ = 90.00°. The distinct sites, in fractional coordinates, are Ca at (0.040, 0.110, 0.105), Ca at (0.192, 0.250, 0.614), Al at (0.156, 0.750, 0.582), Al at (0.166, 0.036, 0.612) and Rh at (0.123, 0.599, 0.382).

The total energy is -4.59 eV per atom.

5.
Density functional theory data (PBE) for a geometry-optimized BaDy2NpO8 structure.

It has space group P2/m (No. 10), with a = 5.142 Å, b = 7.504 Å, c = 5.145 Å, α = 90.00°, β = 90.28° and γ = 90.00°. The distinct sites, in fractional coordinates, are Ba at (0.000, 0.000, 0.000), Dy at (0.500, 0.266, 0.500), Np at (0.000, 0.500, 0.000), O at (0.188, 0.305, 0.188), O at (0.288, 0.500, 0.712) and O at (0.349, 0.000, 0.650).

The calculation puts the formation energy without anion corrections at -2857 meV/atom.

6.
Density functional theory data (PBE) for a geometry-optimized MnFe3Pt structure.

It has space group Pm-3m (No. 221), with a = 4.670 Å, b = 4.670 Å, c = 4.670 Å, α = 90.00°, β = 90.00° and γ = 90.00°. The distinct sites, in fractional coordinates, are Mn at (0.000, 0.000, 0.000), Fe at (0.000, 0.500, 0.500) and Pt at (0.500, 0.500, 0.500).

The total energy is -6.90 eV per atom.

7.
Density functional theory data (PBE) for a geometry-optimized ScCrSe4 structure.

It has space group F-43m (No. 216), with a = 8.064 Å, b = 8.064 Å, c = 8.064 Å, α = 90.00°, β = 90.00° and γ = 90.00°. The distinct sites, in fractional coordinates, are Sc at (0.000, 0.000, 0.000), Cr at (0.250, 0.250, 0.250) and Se at (0.125, 0.125, 0.625).

The calculation puts the formation energy without anion corrections at 419 meV/atom.

8.
Density functional theory data (PBE) for a geometry-optimized Ta2BeAlCr structure.

It has space group P4/mmm (No. 123), with a = 4.567 Å, b = 4.567 Å, c = 4.168 Å, α = 90.00°, β = 90.00° and γ = 90.00°. The distinct sites, in fractional coordinates, are Ta at (0.000, 0.500, 0.000), Be at (0.000, 0.000, 0.500), Al at (0.500, 0.500, 0.500) and Cr at (0.000, 0.000, 0.000).

The total energy is -7.18 eV per atom.